(1)
Density functional theory data (PBE-GGA) for crystalline Rb2TbNpS4 at its relaxed geometry.

a = 4.120 Å, b = 7.145 Å, c = 8.042 Å
α = 107.28°, β = 90.00°, γ = 90.00°
Last column: magnetic moment on the atom in μB.
Element x y z (fractional)
Rb: 0.500 0.000 0.500  0.00
Rb: 0.000 0.500 0.500  0.00
Tb: 0.000 0.000 0.000  0.06
Np: 0.500 0.500 0.000  3.85
S: 0.500 0.229 0.193  -0.02
S: 0.500 0.771 0.807  -0.02
S: 0.000 0.269 0.809  -0.05
S: 0.000 0.731 0.191  -0.05

Total DFT energy (no corrections), eV per atom: -6.10
ΔE_f (raw), meV per atom: -1596

=====

(2)
Density functional theory data (PBE-GGA) for crystalline Rb2TbNp2S6 at its relaxed geometry.

a = 7.010 Å, b = 7.010 Å, c = 8.173 Å
α = 98.06°, β = 98.06°, γ = 120.11°
Last column: magnetic moment on the atom in μB.
Element x y z (fractional)
Rb: 0.835 0.165 0.000  0.00
Rb: 0.165 0.835 0.000  0.00
Tb: 0.000 0.000 0.500  0.03
Np: 0.334 0.666 0.500  3.58
Np: 0.666 0.334 0.500  3.58
S: 0.725 0.725 0.685  -0.07
S: 0.059 0.398 0.684  -0.07
S: 0.275 0.275 0.315  -0.07
S: 0.398 0.059 0.684  -0.07
S: 0.941 0.602 0.316  -0.07
S: 0.602 0.941 0.316  -0.07

Total DFT energy (no corrections), eV per atom: -6.76
ΔE_f (raw), meV per atom: -1559